Compound: SrMo2Ru
Source: the Alexandria database
Functional: PBE
Structure: relaxed

Results
energy relative to the elements	603	meV per atom
DOS(E_F)	5.4	states/eV per cell
E_tot	-60.41	eV/cell

Lattice parameters (Å, degrees): 10.0830 3.1877 5.4817 90.00 103.96 90.00
With the nearest neighbours (Å) after each atom.
Element x y z (fractional)
Sr1 0.0000 0.0000 0.0000  4 Ru 3.17, 2 Sr 3.19, 6 Mo 3.24-3.49
Sr2 0.5000 0.5000 0.0000  4 Ru 3.17, 2 Sr 3.19, 6 Mo 3.24-3.49
Mo1 0.2112 0.0000 0.6378  2 Mo 2.45, 2 Ru 2.62
Mo2 0.2888 0.5000 0.3622  2 Mo 2.45, 2 Ru 2.62
Mo3 0.7112 0.5000 0.6378  2 Mo 2.45, 2 Ru 2.62
Mo4 0.7888 0.0000 0.3622  2 Mo 2.45, 2 Ru 2.62
Ru1 0.0000 0.5000 0.5000  4 Mo 2.62
Ru2 0.5000 0.0000 0.5000  4 Mo 2.62



Compound: SrMoRu
Source: the Alexandria database
Functional: PBE
Structure: relaxed

Results
energy relative to the elements	1040	meV per atom
DOS(E_F)	14.3	states/eV per cell
E_tot	-74.68	eV/cell

Lattice parameters (Å, degrees): 6.4735 6.4735 6.4735 90.00 90.00 90.00
With the nearest neighbours (Å) after each atom.
Element x y z (fractional)
Sr1 0.0000 0.0000 0.0000  4 Ru 2.80
Sr2 0.0000 0.5000 0.5000  4 Ru 2.80
Sr3 0.5000 0.0000 0.5000  4 Ru 2.80
Sr4 0.5000 0.5000 0.0000  4 Ru 2.80
Mo1 0.0000 0.0000 0.5000  4 Ru 2.80
Mo2 0.0000 0.5000 0.0000  4 Ru 2.80
Mo3 0.5000 0.0000 0.0000  4 Ru 2.80
Mo4 0.5000 0.5000 0.5000  4 Ru 2.80
Ru1 0.2500 0.2500 0.7500  4 Mo 2.80, 4 Sr 2.80
Ru2 0.2500 0.7500 0.2500  4 Mo 2.80, 4 Sr 2.80
Ru3 0.7500 0.2500 0.2500  4 Mo 2.80, 4 Sr 2.80
Ru4 0.7500 0.7500 0.7500  4 Mo 2.80, 4 Sr 2.80



Compound: SrMo2Ru
Source: the Alexandria database
Functional: PBE
Structure: relaxed

Results
energy relative to the elements	542	meV per atom
DOS(E_F)	4.3	states/eV per cell
E_tot	-30.45	eV/cell

Lattice parameters (Å, degrees): 3.2247 3.2247 7.6888 90.00 90.00 90.00
With the nearest neighbours (Å) after each atom.
Element x y z (fractional)
Sr1 0.0000 0.0000 0.0000  4 Sr 3.22, 4 Ru 3.29, 4 Mo 3.41
Mo1 0.0000 0.0000 0.5129  4 Ru 2.66, 4 Mo 2.68
Mo2 0.5000 0.5000 0.3290  4 Mo 2.68, 1 Ru 2.78
Ru1 0.5000 0.5000 0.6909  5 Mo 2.66-2.78



Compound: SrMoRu2
Source: the Alexandria database
Functional: PBE
Structure: relaxed

Results
energy relative to the elements	632	meV per atom
DOS(E_F)	4.4	states/eV per cell
E_tot	-28.53	eV/cell

Lattice parameters (Å, degrees): 3.3122 3.3122 7.3879 90.00 90.00 90.00
With the nearest neighbours (Å) after each atom.
Element x y z (fractional)
Sr1 0.0000 0.0000 0.0000  4 Ru 3.26, 4 Sr 3.31, 4 Mo 3.53
Mo1 0.5000 0.5000 0.3575  5 Ru 2.47-2.57
Ru1 0.0000 0.0000 0.5006  4 Mo 2.57, 4 Ru 2.74
Ru2 0.5000 0.5000 0.6923  1 Mo 2.47, 4 Ru 2.74



Compound: SrMoRu2
Source: the Alexandria database
Functional: PBE
Structure: relaxed

Results
energy relative to the elements	326	meV per atom
DOS(E_F)	4.2	states/eV per cell
E_tot	-29.76	eV/cell

Lattice parameters (Å, degrees): 3.1639 3.1756 7.5515 90.00 90.00 90.00
With the nearest neighbours (Å) after each atom.
Element x y z (fractional)
Sr1 0.0000 0.0000 0.0000  4 Sr 3.16-3.18, 8 Ru 3.26
Mo1 0.0000 0.0000 0.5000  8 Ru 2.65
Ru1 0.5000 0.5000 0.3132  4 Mo 2.65, 1 Ru 2.82
Ru2 0.5000 0.5000 0.6868  4 Mo 2.65, 1 Ru 2.82



Compound: SrMo2Ru
Source: the Alexandria database
Functional: PBE
Structure: relaxed

Results
energy relative to the elements	678	meV per atom
DOS(E_F)	6.1	states/eV per cell
E_tot	-29.91	eV/cell

Lattice parameters (Å, degrees): 3.4100 3.4100 7.4509 90.00 90.00 90.00
With the nearest neighbours (Å) after each atom.
Element x y z (fractional)
Sr1 0.0000 0.0000 0.0000  4 Sr 3.41, 8 Mo 3.52, 2 Ru 3.73
Mo1 0.5000 0.5000 0.3450  1 Mo 2.31
Mo2 0.5000 0.5000 0.6550  1 Mo 2.31
Ru1 0.0000 0.0000 0.5000  8 Mo 2.67



Compound: SrMo2Ru
Source: the Alexandria database
Functional: PBE
Structure: relaxed

Results
energy relative to the elements	645	meV per atom
DOS(E_F)	8.4	states/eV per cell
E_tot	-60.08	eV/cell

Lattice parameters (Å, degrees): 9.5377 3.1296 6.0122 90.00 105.56 90.00
With the nearest neighbours (Å) after each atom.
Element x y z (fractional)
Sr1 0.0000 0.0000 0.0000  2 Sr 3.13, 3 Ru 3.23-3.37, 7 Mo 3.30-3.47
Sr2 0.5000 0.5000 0.0000  2 Sr 3.13, 3 Ru 3.23-3.37, 7 Mo 3.30-3.47
Mo1 0.0080 0.5000 0.5152  2 Mo 2.51, 2 Ru 2.59
Mo2 0.2983 0.5000 0.3678  2 Mo 2.51, 2 Ru 2.57
Mo3 0.5080 0.0000 0.5152  2 Mo 2.51, 2 Ru 2.59
Mo4 0.7983 0.0000 0.3678  2 Mo 2.51, 2 Ru 2.57
Ru1 0.2297 0.0000 0.6615  4 Mo 2.57-2.59
Ru2 0.7297 0.5000 0.6615  4 Mo 2.57-2.59



Compound: SrMo3Ru
Source: the Alexandria database
Functional: PBE
Structure: relaxed

Results
energy relative to the elements	3252	meV per atom
DOS(E_F)	10.0	states/eV per cell
E_tot	-27.19	eV/cell

Lattice parameters (Å, degrees): 4.6400 4.6400 4.6400 90.00 90.00 90.00
With the nearest neighbours (Å) after each atom.
Element x y z (fractional)
Sr1 0.0000 0.0000 0.0000  6 Mo 2.32
Mo1 0.0000 0.0000 0.5000  2 Sr 2.32
Mo2 0.0000 0.5000 0.0000  2 Sr 2.32
Mo3 0.5000 0.0000 0.0000  2 Sr 2.32
Ru1 0.5000 0.5000 0.5000  12 Mo 3.28



Compound: SrMoRu2
Source: the Alexandria database
Functional: PBE
Structure: relaxed

Results
energy relative to the elements	720	meV per atom
DOS(E_F)	8.0	states/eV per cell
E_tot	-112.74	eV/cell

Lattice parameters (Å, degrees): 7.3515 7.3515 6.2707 90.00 90.00 90.00
With the nearest neighbours (Å) after each atom.
Element x y z (fractional)
Sr1 0.0000 0.0000 0.0000  8 Ru 3.06-3.28, 2 Mo 3.14
Sr2 0.0000 0.5000 0.2500  8 Ru 3.06-3.28, 2 Mo 3.14
Sr3 0.5000 0.0000 0.7500  8 Ru 3.06-3.28, 2 Mo 3.14
Sr4 0.5000 0.5000 0.5000  8 Ru 3.06-3.28, 2 Mo 3.14
Mo1 0.0000 0.0000 0.5000  4 Ru 2.42
Mo2 0.0000 0.5000 0.7500  4 Ru 2.42
Mo3 0.5000 0.0000 0.2500  4 Ru 2.42
Mo4 0.5000 0.5000 0.0000  4 Ru 2.42
Ru1 0.1851 0.2500 0.6250  2 Mo 2.42
Ru2 0.2500 0.6851 0.8750  2 Mo 2.42
Ru3 0.2500 0.8149 0.3750  2 Mo 2.42
Ru4 0.3149 0.2500 0.1250  2 Mo 2.42
Ru5 0.6851 0.7500 0.1250  2 Mo 2.42
Ru6 0.7500 0.1851 0.3750  2 Mo 2.42
Ru7 0.7500 0.3149 0.8750  2 Mo 2.42
Ru8 0.8149 0.7500 0.6250  2 Mo 2.42



Compound: SrMo2Ru
Source: the Alexandria database
Functional: PBE
Structure: relaxed

Results
energy relative to the elements	726	meV per atom
DOS(E_F)	5.0	states/eV per cell
E_tot	-29.72	eV/cell

Lattice parameters (Å, degrees): 2.8829 2.8829 9.2067 90.00 90.00 90.00
With the nearest neighbours (Å) after each atom.
Element x y z (fractional)
Sr1 0.0000 0.0000 0.0000  4 Sr 2.88
Mo1 0.5000 0.5000 0.3065  4 Ru 2.71, 4 Mo 2.88
Mo2 0.5000 0.5000 0.6935  4 Ru 2.71, 4 Mo 2.88
Ru1 0.0000 0.0000 0.5000  8 Mo 2.71, 4 Ru 2.88



Compound: SrMo2Ru
Source: the Alexandria database
Functional: PBE
Structure: relaxed

Results
energy relative to the elements	759	meV per atom
DOS(E_F)	9.8	states/eV per cell
E_tot	-59.17	eV/cell

Lattice parameters (Å, degrees): 2.8888 5.0614 10.5592 90.00 90.00 90.00
With the nearest neighbours (Å) after each atom.
Element x y z (fractional)
Sr1 0.0000 0.0000 0.0000  2 Sr 2.89, 4 Ru 2.91
Sr2 0.5000 0.5000 0.5000  2 Sr 2.89, 4 Ru 2.91
Mo1 0.0000 0.5000 0.2107  2 Ru 2.65, 2 Mo 2.89
Mo2 0.0000 0.5000 0.7893  2 Ru 2.65, 2 Mo 2.89
Mo3 0.5000 0.0000 0.2893  2 Ru 2.65, 2 Mo 2.89
Mo4 0.5000 0.0000 0.7107  2 Ru 2.65, 2 Mo 2.89
Ru1 0.0000 0.0000 0.5000  4 Mo 2.65, 2 Ru 2.89, 4 Sr 2.91
Ru2 0.5000 0.5000 0.0000  4 Mo 2.65, 2 Ru 2.89, 4 Sr 2.91



Compound: SrMoRu2
Source: the Alexandria database
Functional: PBE
Structure: relaxed

Results
energy relative to the elements	1025	meV per atom
DOS(E_F)	12.5	states/eV per cell
E_tot	-53.93	eV/cell

Lattice parameters (Å, degrees): 3.9503 3.9503 9.2910 90.00 90.00 90.00
With the nearest neighbours (Å) after each atom.
Element x y z (fractional)
Sr1 0.0000 0.0000 0.0000  8 Ru 2.79-3.05, 4 Mo 3.05
Sr2 0.5000 0.5000 0.5000  8 Ru 2.79-3.05, 4 Mo 3.05
Mo1 0.0000 0.5000 0.7500  8 Ru 2.79-3.05, 4 Sr 3.05
Mo2 0.5000 0.0000 0.2500  8 Ru 2.79-3.05, 4 Sr 3.05
Ru1 0.0000 0.0000 0.5000  4 Sr 2.79, 4 Mo 3.05, 4 Ru 3.05
Ru2 0.0000 0.5000 0.2500  4 Mo 2.79, 4 Ru 3.05, 4 Sr 3.05
Ru3 0.5000 0.0000 0.7500  4 Mo 2.79, 4 Ru 3.05, 4 Sr 3.05
Ru4 0.5000 0.5000 0.0000  4 Sr 2.79, 4 Mo 3.05, 4 Ru 3.05



Compound: SrMo2Ru
Source: the Alexandria database
Functional: PBE
Structure: relaxed

Results
energy relative to the elements	1028	meV per atom
DOS(E_F)	10.4	states/eV per cell
E_tot	-57.01	eV/cell

Lattice parameters (Å, degrees): 5.4396 9.9691 2.7188 90.00 90.00 90.00
With the nearest neighbours (Å) after each atom.
Element x y z (fractional)
Sr1 0.0000 0.0000 0.0000  2 Sr 2.72, 2 Ru 2.72
Sr2 0.5000 0.5000 0.0000  2 Sr 2.72, 2 Ru 2.72
Mo1 0.2500 0.2500 0.5000  4 Mo 2.72
Mo2 0.2500 0.7500 0.5000  4 Mo 2.72
Mo3 0.7500 0.2500 0.5000  4 Mo 2.72
Mo4 0.7500 0.7500 0.5000  4 Mo 2.72
Ru1 0.0000 0.5000 0.0000  2 Ru 2.72, 2 Sr 2.72
Ru2 0.5000 0.0000 0.0000  2 Ru 2.72, 2 Sr 2.72



Compound: SrMo3Ru
Source: the Alexandria database
Functional: PBE
Structure: relaxed

Results
energy relative to the elements	1281	meV per atom
DOS(E_F)	4.6	states/eV per cell
E_tot	-37.05	eV/cell

Lattice parameters (Å, degrees): 4.8432 4.8432 4.8432 90.00 90.00 90.00
With the nearest neighbours (Å) after each atom.
Element x y z (fractional)
Sr1 0.0000 0.0000 0.0000  12 Mo 3.42
Mo1 0.0000 0.5000 0.5000  2 Ru 2.42
Mo2 0.5000 0.0000 0.5000  2 Ru 2.42
Mo3 0.5000 0.5000 0.0000  2 Ru 2.42
Ru1 0.5000 0.5000 0.5000  6 Mo 2.42